A plane-wave DFT calculation with PBE-GGA was carried out for an optimized crystal structure of Tc3SbF. Values from VASP.

```
&SYSTEM
  ibrav = 0, nat = 5, ntyp = 3
/
ATOMIC_SPECIES
Tc 98.00 Tc.upf
Sb 121.76 Sb.upf
F 19.00 F.upf
CELL_PARAMETERS angstrom
4.272 0.000 0.000
0.000 4.272 0.000
0.000 0.000 4.272
ATOMIC_POSITIONS crystal
Tc 0.000 0.000 0.500
Tc 0.000 0.500 0.000
Tc 0.500 0.000 0.000
Sb 0.500 0.500 0.500
F 0.000 0.000 0.000
```

E_tot ... -6.5780 eV per atom
Distance to the lowest polymorph of the same formula ... 0.00 eV/f.u.
M_tot ... 3.01 μB/f.u.
Raw formation energy ... 840.4 meV per atom



A plane-wave DFT calculation with PBE-GGA was carried out for an optimized crystal structure of Y2Pb2Cl. Values from VASP.

```
&SYSTEM
  ibrav = 0, nat = 10, ntyp = 3
/
ATOMIC_SPECIES
Y 88.91 Y.upf
Pb 207.20 Pb.upf
Cl 35.45 Cl.upf
CELL_PARAMETERS angstrom
7.648 0.000 0.000
0.000 7.648 0.000
0.000 0.000 4.793
ATOMIC_POSITIONS crystal
Y 0.168 0.332 0.000
Y 0.332 0.832 0.000
Y 0.668 0.168 0.000
Y 0.832 0.668 0.000
Pb 0.142 0.642 0.500
Pb 0.358 0.142 0.500
Pb 0.642 0.858 0.500
Pb 0.858 0.358 0.500
Cl 0.000 0.000 0.000
Cl 0.500 0.500 0.000
```

E_tot ... -5.2606 eV per atom
M_tot ... 0.00 μB/f.u.
Raw formation energy ... -822.3 meV per atom



A plane-wave DFT calculation with PBE-GGA was carried out for an optimized crystal structure of AlMoH. Values from VASP.

```
&SYSTEM
  ibrav = 0, nat = 60, ntyp = 3
/
ATOMIC_SPECIES
Al 26.98 Al.upf
Mo 95.94 Mo.upf
H 1.01 H.upf
CELL_PARAMETERS angstrom
5.014 0.000 0.000
0.000 9.494 0.000
0.000 0.000 14.379
ATOMIC_POSITIONS crystal
Al 0.038 0.067 0.209
Al 0.054 0.052 0.408
Al 0.057 0.485 0.894
Al 0.154 0.164 0.733
Al 0.186 0.758 0.434
Al 0.314 0.242 0.934
Al 0.346 0.836 0.233
Al 0.443 0.515 0.394
Al 0.446 0.948 0.908
Al 0.462 0.933 0.709
Al 0.538 0.433 0.791
Al 0.554 0.448 0.592
Al 0.557 0.015 0.106
Al 0.654 0.336 0.267
Al 0.686 0.742 0.566
Al 0.814 0.258 0.066
Al 0.846 0.664 0.767
Al 0.943 0.985 0.606
Al 0.946 0.552 0.092
Al 0.962 0.567 0.291
Mo 0.035 0.021 0.010
Mo 0.070 0.438 0.695
Mo 0.101 0.251 0.549
Mo 0.130 0.307 0.333
Mo 0.181 0.722 0.631
Mo 0.319 0.278 0.131
Mo 0.370 0.693 0.833
Mo 0.399 0.749 0.049
Mo 0.430 0.562 0.195
Mo 0.465 0.979 0.510
Mo 0.535 0.479 0.990
Mo 0.570 0.062 0.305
Mo 0.601 0.249 0.451
Mo 0.630 0.193 0.667
Mo 0.681 0.778 0.369
Mo 0.819 0.222 0.869
Mo 0.870 0.807 0.167
Mo 0.899 0.751 0.951
Mo 0.930 0.938 0.805
Mo 0.965 0.521 0.490
H 0.034 0.335 0.211
H 0.061 0.836 0.056
H 0.151 0.799 0.751
H 0.174 0.863 0.543
H 0.202 0.537 0.591
H 0.298 0.463 0.091
H 0.326 0.137 0.043
H 0.349 0.201 0.251
H 0.439 0.164 0.556
H 0.466 0.665 0.711
H 0.534 0.165 0.789
H 0.561 0.664 0.944
H 0.651 0.701 0.249
H 0.674 0.637 0.457
H 0.702 0.963 0.409
H 0.798 0.037 0.909
H 0.826 0.363 0.957
H 0.849 0.299 0.749
H 0.939 0.336 0.444
H 0.966 0.835 0.289
```

E_tot ... -5.9925 eV per atom
Distance to the lowest polymorph of the same formula ... 0.22 eV/f.u.
M_tot ... 0.00 μB/f.u.



A plane-wave DFT calculation with PBE-GGA was carried out for an optimized crystal structure of Ba2Li5Hg. Values from VASP.

```
&SYSTEM
  ibrav = 0, nat = 16, ntyp = 3
/
ATOMIC_SPECIES
Ba 137.33 Ba.upf
Li 6.94 Li.upf
Hg 200.59 Hg.upf
CELL_PARAMETERS angstrom
2.478 -9.371 0.000
2.478 9.371 0.000
0.000 0.000 10.740
ATOMIC_POSITIONS crystal
Ba 0.000 0.000 0.000
Ba 0.000 0.000 0.500
Ba 0.194 0.806 0.750
Ba 0.806 0.194 0.250
Li 0.185 0.815 0.114
Li 0.185 0.815 0.386
Li 0.341 0.659 0.019
Li 0.341 0.659 0.481
Li 0.405 0.595 0.750
Li 0.595 0.405 0.250
Li 0.659 0.341 0.519
Li 0.659 0.341 0.981
Li 0.815 0.185 0.614
Li 0.815 0.185 0.886
Hg 0.440 0.560 0.250
Hg 0.560 0.440 0.750
```

E_tot ... -1.7975 eV per atom
M_tot ... 0.00 μB/f.u.
Energy of formation from the pure elements ... -0.08 eV per atom



A plane-wave DFT calculation with PBE-GGA was carried out for an optimized crystal structure of In2Au. Values from VASP.

```
&SYSTEM
  ibrav = 0, nat = 3, ntyp = 2
/
ATOMIC_SPECIES
In 114.82 In.upf
Au 196.97 Au.upf
CELL_PARAMETERS angstrom
3.683 0.000 0.000
-1.842 3.190 0.000
0.000 0.000 6.261
ATOMIC_POSITIONS crystal
In 0.333 0.667 0.305
In 0.667 0.333 0.695
Au 0.000 0.000 0.000
```

E_tot ... -3.0379 eV per atom
M_tot ... 0.00 μB/f.u.
Energy of formation from the pure elements ... -0.12 eV per atom



A plane-wave DFT calculation with PBE-GGA was carried out for an optimized crystal structure of HfTa2H. Values from VASP.

```
&SYSTEM
  ibrav = 0, nat = 4, ntyp = 3
/
ATOMIC_SPECIES
Hf 178.49 Hf.upf
Ta 180.95 Ta.upf
H 1.01 H.upf
CELL_PARAMETERS angstrom
0.000 3.217 3.217
3.217 0.000 3.217
3.217 3.217 0.000
ATOMIC_POSITIONS crystal
Hf 0.000 0.000 0.000
Ta 0.250 0.250 0.250
Ta 0.750 0.750 0.750
H 0.500 0.500 0.500
```

E_tot ... -8.1340 eV per atom
Distance to the lowest polymorph of the same formula ... 4.54 eV/f.u.
M_tot ... 0.00 μB/f.u.



A plane-wave DFT calculation with PBE-GGA was carried out for an optimized crystal structure of BaAcTmTl. Values from VASP.

```
&SYSTEM
  ibrav = 0, nat = 4, ntyp = 4
/
ATOMIC_SPECIES
Ba 137.33 Ba.upf
Ac 227.00 Ac.upf
Tm 168.93 Tm.upf
Tl 204.38 Tl.upf
CELL_PARAMETERS angstrom
0.000 4.207 4.207
4.207 0.000 4.207
4.207 4.207 0.000
ATOMIC_POSITIONS crystal
Ba 0.000 0.000 0.000
Ac 0.250 0.250 0.250
Tm 0.500 0.500 0.500
Tl 0.750 0.750 0.750
```

E_tot ... -3.0760 eV per atom
M_tot ... 0.36 μB/f.u.
Energy of formation from the pure elements ... 0.14 eV per atom



A plane-wave DFT calculation with PBE-GGA was carried out for an optimized crystal structure of YHgRu. Values from VASP.

```
&SYSTEM
  ibrav = 0, nat = 6, ntyp = 3
/
ATOMIC_SPECIES
Y 88.91 Y.upf
Hg 200.59 Hg.upf
Ru 101.07 Ru.upf
CELL_PARAMETERS angstrom
6.420 -2.131 0.000
6.420 2.131 0.000
-1.043 0.000 5.002
ATOMIC_POSITIONS crystal
Y 0.128 0.128 0.331
Y 0.872 0.872 0.669
Hg 0.430 0.430 0.222
Hg 0.570 0.570 0.778
Ru 0.225 0.225 0.892
Ru 0.775 0.775 0.108
```

E_tot ... -5.5478 eV per atom
Distance to the lowest polymorph of the same formula ... 0.00 eV/f.u.
M_tot ... 0.00 μB/f.u.
Energy of formation from the pure elements ... -0.20 eV per atom



A plane-wave DFT calculation with PBE-GGA was carried out for an optimized crystal structure of PmGdZnFe. Values from VASP.

```
&SYSTEM
  ibrav = 0, nat = 4, ntyp = 4
/
ATOMIC_SPECIES
Pm 145.00 Pm.upf
Gd 157.25 Gd.upf
Zn 65.41 Zn.upf
Fe 55.84 Fe.upf
CELL_PARAMETERS angstrom
0.000 3.538 3.538
3.538 0.000 3.538
3.538 3.538 0.000
ATOMIC_POSITIONS crystal
Pm 0.000 0.000 0.000
Gd 0.500 0.500 0.500
Zn 0.250 0.250 0.250
Fe 0.750 0.750 0.750
```

E_tot ... -7.1420 eV per atom
M_tot ... 8.45 μB/f.u.
Energy of formation from the pure elements ... 0.00 eV per atom



A plane-wave DFT calculation with PBE-GGA was carried out for an optimized crystal structure of Pm2Y3Er2. Values from VASP.

```
&SYSTEM
  ibrav = 0, nat = 14, ntyp = 3
/
ATOMIC_SPECIES
Pm 145.00 Pm.upf
Y 88.91 Y.upf
Er 167.26 Er.upf
CELL_PARAMETERS angstrom
-4.884 4.884 4.884
4.884 -4.884 4.884
4.884 4.884 -4.884
ATOMIC_POSITIONS crystal
Pm 0.000 0.810 0.500
Pm 0.500 0.000 0.810
Pm 0.690 0.690 0.690
Pm 0.810 0.500 0.000
Y 0.191 0.750 0.941
Y 0.250 0.559 0.309
Y 0.309 0.250 0.559
Y 0.559 0.309 0.250
Y 0.750 0.941 0.191
Y 0.941 0.191 0.750
Er 0.000 0.411 0.500
Er 0.089 0.089 0.089
Er 0.411 0.500 0.000
Er 0.500 0.000 0.411
```

E_tot ... -5.2002 eV per atom
Distance to the lowest polymorph of the same formula ... 0.75 eV/f.u.
M_tot ... 0.00 μB/f.u.
Energy of formation from the pure elements ... 0.23 eV per atom